# 1
Na2Pm2SnO6 PBE optimized geometry; magnetization = 0.0 μB per formula unit; ΔE_f (raw) = -2348 meV/atom
1.0
3.0041 -5.2010 0.0000
3.0041 5.2010 0.0000
-1.5277 0.0000 5.7251
Na Pm Sn O
2 2 1 6
Direct
0.1456 0.8544 0.0000
0.8544 0.1456 0.0000
0.3357 0.6643 0.5000
0.6643 0.3357 0.5000
0.0000 0.0000 0.5000
0.0404 0.3554 0.6949
0.2385 0.2385 0.2987
0.3554 0.0404 0.6949
0.6446 0.9596 0.3051
0.7615 0.7615 0.7013
0.9596 0.6446 0.3051

# 2
PmY2HoSc PBE optimized geometry; ΔH_f (0 K) = 0.338 eV per atom; magnetization = 0.0 μB per formula unit
1.0
4.1064 -5.6190 0.0000
4.1064 5.6190 0.0000
0.0000 0.0000 7.1249
Pm Y Ho Sc
2 4 2 2
Direct
0.2320 0.7680 0.7500
0.7680 0.2320 0.2500
0.1979 0.1979 0.0000
0.1979 0.1979 0.5000
0.8021 0.8021 0.0000
0.8021 0.8021 0.5000
0.2340 0.7660 0.2500
0.7660 0.2340 0.7500
0.4956 0.5044 0.7500
0.5044 0.4956 0.2500

# 3
Er2HgSb PBE optimized geometry; magnetization = 0.7 μB per formula unit; ΔE_f (raw) = -641 meV/atom
1.0
3.8851 0.0000 0.0000
0.0000 3.8851 0.0000
0.0000 0.0000 6.8334
Er Hg Sb
2 1 1
Direct
0.0000 0.0000 0.2456
0.0000 0.0000 0.7544
0.5000 0.5000 0.5000
0.5000 0.5000 0.0000

# 4
RbLiBi2Te4 PBE optimized geometry; magnetization = 0.0 μB per formula unit; ΔE_f (raw) = -542 meV/atom
1.0
2.2901 -7.7333 0.0000
2.2901 7.7333 0.0000
0.0000 0.0000 16.1348
Rb Li Bi Te
2 2 4 8
Direct
0.1113 0.8887 0.7500
0.8887 0.1113 0.2500
0.1586 0.8414 0.2500
0.8414 0.1586 0.7500
0.3660 0.6340 0.5641
0.3660 0.6340 0.9359
0.6340 0.3660 0.0641
0.6340 0.3660 0.4359
0.0000 0.0000 0.0000
0.0000 0.0000 0.5000
0.2644 0.7356 0.1079
0.2644 0.7356 0.3921
0.4334 0.5666 0.7500
0.5666 0.4334 0.2500
0.7356 0.2644 0.6079
0.7356 0.2644 0.8921

# 5
LiPdPt4 PBE optimized geometry; ΔH_f (0 K) = -0.123 eV per atom; magnetization = 0.0 μB per formula unit
1.0
0.0000 4.5796 7.5372
2.6928 0.0000 7.5372
2.6928 4.5796 0.0000
Li Pd Pt
2 2 8
Direct
0.1250 0.1250 0.1250
0.8750 0.8750 0.8750
0.3750 0.3750 0.3750
0.6250 0.6250 0.6250
0.0259 0.5372 0.2162
0.2162 0.7207 0.0259
0.2793 0.7838 0.4628
0.4628 0.9741 0.2793
0.5372 0.0259 0.7207
0.7207 0.2162 0.5372
0.7838 0.2793 0.9741
0.9741 0.4628 0.7838